1.
This record from Alexandria describes a relaxed Ba2CrP crystal. The functional is PBE.

Values from the calculation:
SG = F-43m
Energy = -4.356 eV/atom

Cell: 5.494 5.494 5.494 Å, 60.00 60.00 60.00°
Positions (direct):
Ba (0.000, 0.000, 0.000)
Ba (0.250, 0.250, 0.250)
Cr (0.500, 0.500, 0.500)
P (0.750, 0.750, 0.750)

2.
This record from Alexandria describes a relaxed BaCrP2 crystal. The functional is PBE.

Values from the calculation:
SG = I-4m2
Energy = -5.250 eV/atom
Relative energy among the computed polymorphs = 939 meV per atom

Cell: 5.902 5.902 5.902 Å, 137.45 137.45 61.75°
Positions (direct):
Ba (0.000, 0.000, 0.000)
Cr (0.250, 0.750, 0.500)
P (0.500, 0.500, 0.000)
P (0.750, 0.250, 0.500)

3.
This record from Alexandria describes a relaxed BaCrP2 crystal. The functional is PBE.

Values from the calculation:
SG = Imm2
Energy = -5.830 eV/atom
Relative energy among the computed polymorphs = 359 meV per atom

Cell: 7.489 7.489 7.489 Å, 153.29 152.62 38.62°
Positions (direct):
Ba (0.000, 0.000, 0.000)
Cr (0.751, 0.251, 0.500)
P (0.306, 0.806, 0.500)
P (0.638, 0.638, 0.000)

4.
This record from Alexandria describes a relaxed BaCrP2 crystal. The functional is PBE.

Values from the calculation:
SG = Amm2
Energy = -5.999 eV/atom
Relative energy among the computed polymorphs = 190 meV per atom

Cell: 4.301 6.390 6.390 Å, 36.26 90.00 90.00°
Positions (direct):
Ba (0.000, 0.000, 0.000)
Cr (0.500, 0.769, 0.769)
P (0.000, 0.709, 0.709)
P (0.500, 0.368, 0.368)

One value per record, in order, for ΔH_f (0 K): 364 342 -239 -407 meV per atom.
One value per record, in order, for spin magnetization: 4.907 3.563 2.145 2.002 μB/cell.